First-principles (PBE) data for a relaxed structure of Ho2TmPd8, as listed in the Alexandria database.

Unit cell a=14.7639 b=4.1928 c=6.7328 alpha=90.00 beta=108.45 gamma=90.00
Closest atoms and distances in Å follow each position.
Space group C2/m (No. 12)
Symmetry-distinct sites (fractional):
Ho  0.2177  0.0000  0.1663 (multiplicity 4)  9 Pd 2.80-3.11
Tm  0.0000  0.5000  0.5000 (multiplicity 2)  12 Pd 2.87-2.99
Pd  0.0372  0.0000  0.2191 (multiplicity 4)  1 Ho 2.80, 9 Pd 2.80-3.04, 2 Tm 2.99
Pd  0.0916  0.5000  0.9495 (multiplicity 4)  8 Pd 2.82-3.04, 3 Ho 2.88-3.15, 1 Tm 2.90
Pd  0.1409  0.0000  0.6793 (multiplicity 4)  3 Ho 2.91-3.11, 7 Pd 2.92-3.01, 2 Tm 2.93
Pd  0.1764  0.5000  0.4067 (multiplicity 4)  3 Ho 2.80-2.83, 1 Tm 2.87, 8 Pd 2.93-2.99

* spin magnetization: 0.0 μB per cell
* ρ: 11.3 g/cm3
* calculated formation energy: -0.787 eV/atom